Ca2Zn2Ag | the Alexandria database | PBEsol | optimized geometry; E_tot = -2.25 eV per atom; ΔH_f (0 K) = -0.103 eV/atom
1.0
3.6506 0.0000 0.0000
0.0000 3.6506 0.0000
-1.8253 -1.8253 8.8388
Ca Ag Zn
2 1 2
direct
0.6026 0.6026 0.2052
0.3974 0.3974 0.7948
0.0000 0.0000 0.0000
0.7500 0.2500 0.5000
0.2500 0.7500 0.5000